Crystalline Nd2CdHg6 at its relaxed geometry. Source: Alexandria via LeMat-Bulk, functional PBE. Values from VASP.

Cell and atoms, written as Quantum ESPRESSO input:
```
&SYSTEM
  ibrav = 0, nat = 9, ntyp = 3
/
ATOMIC_SPECIES
Nd 144.24 Nd.upf
Cd 112.41 Cd.upf
Hg 200.59 Hg.upf
ATOMIC_POSITIONS crystal
Nd 0.6787 0.6746 0.3493
Nd 0.3213 0.3254 0.6507
Cd 0.0000 0.0000 0.0000
Hg 0.1690 0.5015 0.3361
Hg 0.8310 0.1654 0.6639
Hg 0.8310 0.4985 0.6639
Hg 0.5000 0.1648 0.0000
Hg 0.1690 0.8346 0.3361
Hg 0.5000 0.8352 0.0000
CELL_PARAMETERS angstrom
-0.1186 -6.0351 -0.3818
1.2751 0.5280 -8.7429
3.6076 -0.2054 4.9941
```

Space-group type   C2/m
ΔE to the lowest computed polymorph   47 meV/atom

=====

Crystalline Nd4CdHg5 at its relaxed geometry. Source: Alexandria via LeMat-Bulk, functional PBE. Values from VASP.

Cell and atoms, written as Quantum ESPRESSO input:
```
&SYSTEM
  ibrav = 0, nat = 10, ntyp = 3
/
ATOMIC_SPECIES
Nd 144.24 Nd.upf
Cd 112.41 Cd.upf
Hg 200.59 Hg.upf
ATOMIC_POSITIONS crystal
Nd 0.0000 0.0000 0.1902
Nd 0.0000 0.0000 0.3963
Nd 0.0000 0.0000 0.6037
Nd 0.0000 0.0000 0.8098
Cd 0.0000 0.0000 0.0000
Hg 0.5000 0.5000 0.0904
Hg 0.5000 0.5000 0.2948
Hg 0.5000 0.5000 0.5000
Hg 0.5000 0.5000 0.7052
Hg 0.5000 0.5000 0.9096
CELL_PARAMETERS angstrom
-3.2225 -2.0307 0.3103
1.8290 -3.0990 -1.2865
4.5616 -4.5664 17.4854
```

Space-group type   P4/mmm

=====

Crystalline Nd5CdHg8 at its relaxed geometry. Source: Alexandria via LeMat-Bulk, functional PBE. Values from VASP.

Cell and atoms, written as Quantum ESPRESSO input:
```
&SYSTEM
  ibrav = 0, nat = 14, ntyp = 3
/
ATOMIC_SPECIES
Nd 144.24 Nd.upf
Cd 112.41 Cd.upf
Hg 200.59 Hg.upf
ATOMIC_POSITIONS crystal
Nd 0.9764 0.3679 0.1123
Nd 0.8877 0.8641 0.2557
Nd 0.7443 0.6321 0.6085
Nd 0.5000 0.0000 0.5000
Nd 0.3915 0.1359 0.0236
Cd 0.2500 0.5000 0.7500
Hg 0.1183 0.7350 0.0201
Hg 0.9799 0.0982 0.7149
Hg 0.8119 0.2553 0.3967
Hg 0.6033 0.4152 0.8586
Hg 0.4434 0.5848 0.1881
Hg 0.6167 0.9018 0.8817
Hg 0.2851 0.2650 0.3833
Hg 0.1414 0.7447 0.5566
CELL_PARAMETERS angstrom
-0.2980 -6.6989 4.3520
7.3387 0.8162 -3.0628
-1.6465 6.3319 4.5935
```

Space-group type   I-4

=====

Crystalline NdCd6Hg at its relaxed geometry. Source: Alexandria via LeMat-Bulk, functional PBE. Values from VASP.

Cell and atoms, written as Quantum ESPRESSO input:
```
&SYSTEM
  ibrav = 0, nat = 8, ntyp = 3
/
ATOMIC_SPECIES
Nd 144.24 Nd.upf
Cd 112.41 Cd.upf
Hg 200.59 Hg.upf
ATOMIC_POSITIONS crystal
Nd 0.0000 0.0000 0.5000
Cd 0.5000 0.0000 0.7502
Cd 0.0000 0.5000 0.7502
Cd 0.5000 0.5000 0.2494
Cd 0.5000 0.5000 0.7506
Cd 0.0000 0.5000 0.2498
Cd 0.5000 0.0000 0.2498
Hg 0.0000 0.0000 0.0000
CELL_PARAMETERS angstrom
5.7947 1.5554 0.0000
1.5554 5.7947 0.0000
0.0000 0.0000 6.5065
```

Space-group type   P6/mmm

=====

Crystalline NdCdHg at its relaxed geometry. Source: Alexandria via LeMat-Bulk, functional PBE. Values from VASP.

Cell and atoms, written as Quantum ESPRESSO input:
```
&SYSTEM
  ibrav = 0, nat = 3, ntyp = 3
/
ATOMIC_SPECIES
Nd 144.24 Nd.upf
Hg 200.59 Hg.upf
Cd 112.41 Cd.upf
ATOMIC_POSITIONS crystal
Nd 0.6666 0.6667 0.3333
Hg 0.1667 0.3333 0.6667
Cd 0.1667 0.0000 0.0000
CELL_PARAMETERS angstrom
3.4896 0.0000 0.0000
0.0000 5.0596 0.0000
0.0000 -2.5298 4.3817
```

Space-group type   P-6m2

=====

Crystalline NdCd2Hg6 at its relaxed geometry. Source: Alexandria via LeMat-Bulk, functional PBE. Values from VASP.

Cell and atoms, written as Quantum ESPRESSO input:
```
&SYSTEM
  ibrav = 0, nat = 9, ntyp = 3
/
ATOMIC_SPECIES
Nd 144.24 Nd.upf
Cd 112.41 Cd.upf
Hg 200.59 Hg.upf
ATOMIC_POSITIONS crystal
Nd 0.0000 0.0000 0.5000
Cd 0.5000 0.8434 0.8132
Cd 0.5000 0.1566 0.1868
Hg 0.1763 0.8474 0.1598
Hg 0.8237 0.4928 0.1598
Hg 0.8237 0.1526 0.8402
Hg 0.1763 0.5072 0.8402
Hg 0.3213 0.3547 0.5000
Hg 0.6787 0.6453 0.5000
CELL_PARAMETERS angstrom
5.0189 0.0628 0.7857
2.1442 5.4919 2.0409
-0.0648 0.4218 8.4689
```

Space-group type   C2/m
ΔE to the lowest computed polymorph   0 meV/atom

=====

no.,E_form (eV per atom),total moment (μB/atom),electronic total energy (eV per atom)
1,-0.2835,0.000,-1.646
2,-0.4005,0.119,-2.550
3,-0.3637,0.000,-2.304
4,-0.0890,0.000,-1.409
5,-0.3997,0.001,-2.395
6,-0.1544,0.000,-1.089